## 1
# Y2Ag2Hg, relaxed, DFT PBE-GGA
data_Y2Ag2Hg
_cell_length_a 5.262
_cell_length_b 5.275
_cell_length_c 8.802
_cell_angle_alpha 90.00
_cell_angle_beta 72.71
_cell_angle_gamma 89.86
_space_group_name_H-M_alt 'P -1'
_space_group_IT_number 2
loop_
_space_group_symop_operation_xyz
'x,y,z'
'-x,-y,-z'
loop_
_atom_site_label
_atom_site_type_symbol
_atom_site_fract_x
_atom_site_fract_y
_atom_site_fract_z
_atom_site_occupancy
Y1 Y 0.140 0.251 0.219 1
Y2 Y 0.359 0.249 0.781 1
Ag1 Ag 0.044 0.751 0.415 1
Ag2 Ag 0.458 0.749 0.585 1
Hg1 Hg 0.251 0.750 0.000 1
# Size of the total moment   0.00 μB per formula unit

## 2
# Y2Ag2Hg, relaxed, DFT PBE-GGA
data_Y2Ag2Hg
_cell_length_a 3.833
_cell_length_b 3.833
_cell_length_c 17.215
_cell_angle_alpha 90.00
_cell_angle_beta 90.00
_cell_angle_gamma 90.00
_space_group_name_H-M_alt 'I 4/m m m'
_space_group_IT_number 139
_space_group_name_Hall '-I 4 2'
loop_
_atom_site_label
_atom_site_type_symbol
_atom_site_fract_x
_atom_site_fract_y
_atom_site_fract_z
_atom_site_occupancy
Y1 Y 0.000 0.000 0.105 1
Ag1 Ag 0.000 0.500 0.250 1
Hg1 Hg 0.000 0.000 0.500 1
# Size of the total moment   0.00 μB per formula unit

Going by the energies, 1 is most stable and the next is 0.227 eV/atom up.

## 1
# Y2Ag2Hg, relaxed, DFT PBE-GGA
data_Y2Ag2Hg
_cell_length_a 8.341
_cell_length_b 8.341
_cell_length_c 3.708
_cell_angle_alpha 90.00
_cell_angle_beta 90.00
_cell_angle_gamma 90.00
_space_group_name_H-M_alt 'P 4/m b m'
_space_group_IT_number 127
_space_group_name_Hall '-P 4 2ab'
loop_
_atom_site_label
_atom_site_type_symbol
_atom_site_fract_x
_atom_site_fract_y
_atom_site_fract_z
_atom_site_occupancy
Y1 Y 0.163 0.337 0.000 1
Ag1 Ag 0.128 0.628 0.500 1
Hg1 Hg 0.000 0.000 0.000 1
# Size of the total moment   0.00 μB per formula unit

## 2
# Y2Ag2Hg, relaxed, DFT PBE-GGA
data_Y2Ag2Hg
_cell_length_a 7.882
_cell_length_b 7.882
_cell_length_c 3.875
_cell_angle_alpha 90.00
_cell_angle_beta 90.00
_cell_angle_gamma 90.00
_space_group_name_H-M_alt 'P 4/m b m'
_space_group_IT_number 127
_space_group_name_Hall '-P 4 2ab'
loop_
_atom_site_label
_atom_site_type_symbol
_atom_site_fract_x
_atom_site_fract_y
_atom_site_fract_z
_atom_site_occupancy
Y1 Y 0.174 0.326 0.000 1
Ag1 Ag 0.126 0.626 0.500 1
Hg1 Hg 0.000 0.000 0.500 1
# Size of the total moment   0.00 μB per formula unit

## 3
# Y2Ag2Hg, relaxed, DFT PBE-GGA
data_Y2Ag2Hg
_cell_length_a 5.677
_cell_length_b 5.677
_cell_length_c 8.190
_cell_angle_alpha 90.00
_cell_angle_beta 90.00
_cell_angle_gamma 90.00
_space_group_name_H-M_alt 'I 4/m m m'
_space_group_IT_number 139
_space_group_name_Hall '-I 4 2'
loop_
_atom_site_label
_atom_site_type_symbol
_atom_site_fract_x
_atom_site_fract_y
_atom_site_fract_z
_atom_site_occupancy
Y1 Y 0.000 0.500 0.250 1
Ag1 Ag 0.000 0.000 0.154 1
Hg1 Hg 0.000 0.000 0.500 1
# Size of the total moment   0.00 μB per formula unit

Going by the energies, 2 is most stable and the next is 0.152 eV/atom up.

## 1
# Y3AgHg, relaxed, DFT PBE-GGA
data_Y3AgHg
_cell_length_a 5.203
_cell_length_b 19.789
_cell_length_c 5.199
_cell_angle_alpha 90.00
_cell_angle_beta 90.00
_cell_angle_gamma 90.00
_space_group_name_H-M_alt 'C m c m'
_space_group_IT_number 63
_space_group_name_Hall '-C 2c 2'
loop_
_atom_site_label
_atom_site_type_symbol
_atom_site_fract_x
_atom_site_fract_y
_atom_site_fract_z
_atom_site_occupancy
Y1 Y 0.000 0.064 0.250 1
Y2 Y 0.000 0.250 0.250 1
Y3 Y 0.000 0.435 0.250 1
Ag1 Ag 0.000 0.342 0.750 1
Hg1 Hg 0.000 0.156 0.750 1
# Size of the total moment   0.69 μB per formula unit

## 2
# Y3AgHg, relaxed, DFT PBE-GGA
data_Y3AgHg
_cell_length_a 5.514
_cell_length_b 5.514
_cell_length_c 5.514
_cell_angle_alpha 90.00
_cell_angle_beta 90.00
_cell_angle_gamma 90.00
_space_group_name_H-M_alt 'P m -3 m'
_space_group_IT_number 221
_space_group_name_Hall '-P 4 2 3'
loop_
_atom_site_label
_atom_site_type_symbol
_atom_site_fract_x
_atom_site_fract_y
_atom_site_fract_z
_atom_site_occupancy
Y1 Y 0.000 0.000 0.500 1
Ag1 Ag 0.000 0.000 0.000 1
Hg1 Hg 0.500 0.500 0.500 1
# Size of the total moment   2.29 μB per formula unit

Going by the energies, 1 is most stable and the next is 0.556 eV/atom up.

## 1
# ZnAgHg, relaxed, DFT PBE-GGA
data_ZnAgHg
_cell_length_a 4.701
_cell_length_b 5.166
_cell_length_c 5.542
_cell_angle_alpha 114.11
_cell_angle_beta 94.27
_cell_angle_gamma 104.76
_space_group_name_H-M_alt 'P 1'
_space_group_IT_number 1
loop_
_space_group_symop_operation_xyz
'x,y,z'
loop_
_atom_site_label
_atom_site_type_symbol
_atom_site_fract_x
_atom_site_fract_y
_atom_site_fract_z
_atom_site_occupancy
Zn1 Zn 0.000 0.000 0.000 1
Zn2 Zn 0.357 0.599 0.196 1
Ag1 Ag 0.782 0.399 0.908 1
Ag2 Ag 0.993 0.923 0.473 1
Hg1 Hg 0.345 0.661 0.717 1
Hg2 Hg 0.613 0.228 0.338 1
# Size of the total moment   0.00 μB per formula unit

## 2
# ZnAgHg, relaxed, DFT PBE-GGA
data_ZnAgHg
_cell_length_a 3.064
_cell_length_b 5.046
_cell_length_c 7.776
_cell_angle_alpha 97.51
_cell_angle_beta 90.11
_cell_angle_gamma 106.90
_space_group_name_H-M_alt 'P -1'
_space_group_IT_number 2
loop_
_space_group_symop_operation_xyz
'x,y,z'
'-x,-y,-z'
loop_
_atom_site_label
_atom_site_type_symbol
_atom_site_fract_x
_atom_site_fract_y
_atom_site_fract_z
_atom_site_occupancy
Zn1 Zn 0.137 0.281 0.422 1
Ag1 Ag 0.406 0.809 0.296 1
Hg1 Hg 0.343 0.709 0.898 1
# Size of the total moment   0.00 μB per formula unit

## 3
# ZnAgHg, relaxed, DFT PBE-GGA
data_ZnAgHg
_cell_length_a 3.485
_cell_length_b 4.843
_cell_length_c 13.530
_cell_angle_alpha 90.00
_cell_angle_beta 90.00
_cell_angle_gamma 90.00
_space_group_name_H-M_alt 'F m m 2'
_space_group_IT_number 42
_space_group_name_Hall 'F 2 -2'
loop_
_atom_site_label
_atom_site_type_symbol
_atom_site_fract_x
_atom_site_fract_y
_atom_site_fract_z
_atom_site_occupancy
Zn1 Zn 0.000 0.000 0.000 1
Ag1 Ag 0.000 0.000 0.349 1
Hg1 Hg 0.000 0.000 0.668 1
# Size of the total moment   0.00 μB per formula unit

## 4
# ZnAgHg, relaxed, DFT PBE-GGA
data_ZnAgHg
_cell_length_a 3.072
_cell_length_b 3.112
_cell_length_c 6.998
_cell_angle_alpha 90.45
_cell_angle_beta 102.65
_cell_angle_gamma 118.41
_space_group_name_H-M_alt 'P 1'
_space_group_IT_number 1
loop_
_space_group_symop_operation_xyz
'x,y,z'
loop_
_atom_site_label
_atom_site_type_symbol
_atom_site_fract_x
_atom_site_fract_y
_atom_site_fract_z
_atom_site_occupancy
Zn1 Zn 0.000 0.000 0.000 1
Ag1 Ag 0.133 0.560 0.695 1
Hg1 Hg 0.557 0.779 0.336 1
# Size of the total moment   0.00 μB per formula unit

Going by the energies, 2 is most stable and the next is 0.014 eV/atom up.

## 1
# ZnAg2Hg, relaxed, DFT PBE-GGA
data_ZnAg2Hg
_cell_length_a 4.4054
_cell_length_b 4.4054
_cell_length_c 14.5189
_cell_angle_alpha 90.00
_cell_angle_beta 90.00
_cell_angle_gamma 120.00
_space_group_name_H-M_alt 'R 3 m'
_space_group_IT_number 160
_space_group_name_Hall 'R 3 -2"'
loop_
_atom_site_label
_atom_site_type_symbol
_atom_site_fract_x
_atom_site_fract_y
_atom_site_fract_z
_atom_site_occupancy
Zn1 Zn 0.0000 0.0000 0.0000 1
Ag1 Ag 0.0000 0.0000 0.4073 1
Ag2 Ag 0.0000 0.0000 0.6187 1
Hg1 Hg 0.0000 0.0000 0.1883 1
# Size of the total moment   0.00 μB per formula unit

## 2
# ZnAg2Hg, relaxed, DFT PBE-GGA
data_ZnAg2Hg
_cell_length_a 4.684
_cell_length_b 4.684
_cell_length_c 3.348
_cell_angle_alpha 90.00
_cell_angle_beta 90.00
_cell_angle_gamma 90.00
_space_group_name_H-M_alt 'P 4/m m m'
_space_group_IT_number 123
_space_group_name_Hall '-P 4 2'
loop_
_atom_site_label
_atom_site_type_symbol
_atom_site_fract_x
_atom_site_fract_y
_atom_site_fract_z
_atom_site_occupancy
Zn1 Zn 0.000 0.000 0.000 1
Ag1 Ag 0.000 0.500 0.500 1
Hg1 Hg 0.500 0.500 0.000 1
# Size of the total moment   0.00 μB per formula unit

## 3
# ZnAg2Hg, relaxed, DFT PBE-GGA
data_ZnAg2Hg
_cell_length_a 3.0225
_cell_length_b 3.0225
_cell_length_c 9.3671
_cell_angle_alpha 90.00
_cell_angle_beta 90.00
_cell_angle_gamma 120.00
_space_group_name_H-M_alt 'P -3 m 1'
_space_group_IT_number 164
_space_group_name_Hall '-P 3 2"'
loop_
_atom_site_label
_atom_site_type_symbol
_atom_site_fract_x
_atom_site_fract_y
_atom_site_fract_z
_atom_site_occupancy
Zn1 Zn 0.0000 0.0000 0.0000 1
Ag1 Ag 0.3333 0.6667 0.2281 1
Hg1 Hg 0.0000 0.0000 0.5000 1
# Size of the total moment   0.00 μB per formula unit

Going by the energies, 3 is most stable and the next is 0.036 eV/atom up.

## 1
# Zn6Ag12Hg, relaxed, DFT PBE-GGA
data_Zn6Ag12Hg
_cell_length_a 8.796
_cell_length_b 8.796
_cell_length_c 8.796
_cell_angle_alpha 90.00
_cell_angle_beta 90.00
_cell_angle_gamma 90.00
_space_group_name_H-M_alt 'I m -3'
_space_group_IT_number 204
_space_group_name_Hall '-I 2 2 3'
loop_
_atom_site_label
_atom_site_type_symbol
_atom_site_fract_x
_atom_site_fract_y
_atom_site_fract_z
_atom_site_occupancy
Zn1 Zn 0.000 0.361 0.500 1
Ag1 Ag 0.000 0.183 0.272 1
Hg1 Hg 0.000 0.000 0.000 1
# Size of the total moment   0.00 μB per formula unit

## 2
# Zn6Ag12Hg, relaxed, DFT PBE-GGA
data_Zn6Ag12Hg
_cell_length_a 11.3168
_cell_length_b 11.3168
_cell_length_c 9.2339
_cell_angle_alpha 90.00
_cell_angle_beta 90.00
_cell_angle_gamma 120.00
_space_group_name_H-M_alt 'R -3 m'
_space_group_IT_number 166
_space_group_name_Hall '-R 3 2"'
loop_
_atom_site_label
_atom_site_type_symbol
_atom_site_fract_x
_atom_site_fract_y
_atom_site_fract_z
_atom_site_occupancy
Zn1 Zn 0.0842 0.1684 0.2452 1
Ag1 Ag 0.0000 0.2653 0.5000 1
Ag2 Ag 0.0771 0.5385 0.6171 1
Hg1 Hg 0.0000 0.0000 0.5000 1
# Size of the total moment   0.00 μB per formula unit

Going by the energies, 2 is most stable and the next is 0.034 eV/atom up.

## 1
# ZnAg4Hg, relaxed, DFT PBE-GGA
data_ZnAg4Hg
_cell_length_a 7.424
_cell_length_b 12.117
_cell_length_c 5.279
_cell_angle_alpha 90.00
_cell_angle_beta 109.85
_cell_angle_gamma 90.00
_space_group_name_H-M_alt 'C 1 2/c 1'
_space_group_IT_number 15
loop_
_space_group_symop_operation_xyz
'x,y,z'
'-x,-y,-z'
'-x,y,-z+1/2'
'x,-y,z+1/2'
'x+1/2,y+1/2,z'
'-x+1/2,-y+1/2,-z'
'-x+1/2,y+1/2,-z+1/2'
'x+1/2,-y+1/2,z+1/2'
loop_
_atom_site_label
_atom_site_type_symbol
_atom_site_fract_x
_atom_site_fract_y
_atom_site_fract_z
_atom_site_occupancy
Zn1 Zn 0.000 0.001 0.250 1
Ag1 Ag 0.099 0.188 0.547 1
Ag2 Ag 0.208 0.382 0.869 1
Hg1 Hg 0.000 0.403 0.250 1
# Size of the total moment   0.00 μB per formula unit

## 2
# ZnAg4Hg, relaxed, DFT PBE-GGA
data_ZnAg4Hg
_cell_length_a 9.932
_cell_length_b 11.230
_cell_length_c 4.960
_cell_angle_alpha 90.00
_cell_angle_beta 113.71
_cell_angle_gamma 90.00
_space_group_name_H-M_alt 'C 1 2/c 1'
_space_group_IT_number 15
loop_
_space_group_symop_operation_xyz
'x,y,z'
'-x,-y,-z'
'-x,y,-z+1/2'
'x,-y,z+1/2'
'x+1/2,y+1/2,z'
'-x+1/2,-y+1/2,-z'
'-x+1/2,y+1/2,-z+1/2'
'x+1/2,-y+1/2,z+1/2'
loop_
_atom_site_label
_atom_site_type_symbol
_atom_site_fract_x
_atom_site_fract_y
_atom_site_fract_z
_atom_site_occupancy
Zn1 Zn 0.000 0.038 0.250 1
Ag1 Ag 0.197 0.192 0.203 1
Ag2 Ag 0.249 0.438 0.261 1
Hg1 Hg 0.000 0.362 0.750 1
# Size of the total moment   0.00 μB per formula unit

Going by the energies, 1 is most stable and the next is 0.072 eV/atom up.

## 1
# ZnAg5Hg, relaxed, DFT PBE-GGA
data_ZnAg5Hg
_cell_length_a 4.245
_cell_length_b 4.245
_cell_length_c 7.391
_cell_angle_alpha 90.00
_cell_angle_beta 90.00
_cell_angle_gamma 90.00
_space_group_name_H-M_alt 'P 4/m m m'
_space_group_IT_number 123
_space_group_name_Hall '-P 4 2'
loop_
_atom_site_label
_atom_site_type_symbol
_atom_site_fract_x
_atom_site_fract_y
_atom_site_fract_z
_atom_site_occupancy
Zn1 Zn 0.000 0.000 0.000 1
Ag1 Ag 0.000 0.000 0.500 1
Ag2 Ag 0.000 0.500 0.213 1
Hg1 Hg 0.500 0.500 0.500 1
# Size of the total moment   0.00 μB per formula unit

## 2
# ZnAg5Hg, relaxed, DFT PBE-GGA
data_ZnAg5Hg
_cell_length_a 5.511
_cell_length_b 7.209
_cell_length_c 7.588
_cell_angle_alpha 90.00
_cell_angle_beta 90.00
_cell_angle_gamma 90.00
_space_group_name_H-M_alt 'I m m 2'
_space_group_IT_number 44
loop_
_space_group_symop_operation_xyz
'x,y,z'
'-x,-y,z'
'-x,y,z'
'x,-y,z'
'x+1/2,y+1/2,z+1/2'
'-x+1/2,-y+1/2,z+1/2'
'-x+1/2,y+1/2,z+1/2'
'x+1/2,-y+1/2,z+1/2'
loop_
_atom_site_label
_atom_site_type_symbol
_atom_site_fract_x
_atom_site_fract_y
_atom_site_fract_z
_atom_site_occupancy
Zn1 Zn 0.000 0.000 0.000 1
Ag1 Ag 0.000 0.184 0.322 1
Ag2 Ag 0.000 0.500 0.524 1
Ag3 Ag 0.241 0.000 0.690 1
Hg1 Hg 0.000 0.500 0.877 1
# Size of the total moment   0.00 μB per formula unit

Going by the energies, 1 is most stable and the next is 0.146 eV/atom up.

## 1
# Zn2Ag2Hg, relaxed, DFT PBE-GGA
data_Zn2Ag2Hg
_cell_length_a 7.647
_cell_length_b 7.647
_cell_length_c 3.113
_cell_angle_alpha 90.00
_cell_angle_beta 90.00
_cell_angle_gamma 90.00
_space_group_name_H-M_alt 'P 4/m b m'
_space_group_IT_number 127
_space_group_name_Hall '-P 4 2ab'
loop_
_atom_site_label
_atom_site_type_symbol
_atom_site_fract_x
_atom_site_fract_y
_atom_site_fract_z
_atom_site_occupancy
Zn1 Zn 0.160 0.340 0.000 1
Ag1 Ag 0.137 0.637 0.500 1
Hg1 Hg 0.000 0.000 0.500 1
# Size of the total moment   0.00 μB per formula unit

## 2
# Zn2Ag2Hg, relaxed, DFT PBE-GGA
data_Zn2Ag2Hg
_cell_length_a 3.937
_cell_length_b 3.937
_cell_length_c 12.657
_cell_angle_alpha 90.00
_cell_angle_beta 90.00
_cell_angle_gamma 90.00
_space_group_name_H-M_alt 'I 4/m m m'
_space_group_IT_number 139
_space_group_name_Hall '-I 4 2'
loop_
_atom_site_label
_atom_site_type_symbol
_atom_site_fract_x
_atom_site_fract_y
_atom_site_fract_z
_atom_site_occupancy
Zn1 Zn 0.000 0.000 0.099 1
Ag1 Ag 0.000 0.500 0.250 1
Hg1 Hg 0.000 0.000 0.500 1
# Size of the total moment   0.00 μB per formula unit

Going by the energies, 1 is most stable and the next is 0.065 eV/atom up.

## 1
# Zn2Ag2Hg, relaxed, DFT PBE-GGA
data_Zn2Ag2Hg
_cell_length_a 7.414
_cell_length_b 7.414
_cell_length_c 3.243
_cell_angle_alpha 90.00
_cell_angle_beta 90.00
_cell_angle_gamma 90.00
_space_group_name_H-M_alt 'P 4/m b m'
_space_group_IT_number 127
_space_group_name_Hall '-P 4 2ab'
loop_
_atom_site_label
_atom_site_type_symbol
_atom_site_fract_x
_atom_site_fract_y
_atom_site_fract_z
_atom_site_occupancy
Zn1 Zn 0.135 0.365 0.000 1
Ag1 Ag 0.159 0.659 0.500 1
Hg1 Hg 0.000 0.000 0.000 1
# Size of the total moment   0.00 μB per formula unit

## 2
# Zn2Ag2Hg, relaxed, DFT PBE-GGA
data_Zn2Ag2Hg
_cell_length_a 3.684
_cell_length_b 3.684
_cell_length_c 13.936
_cell_angle_alpha 90.00
_cell_angle_beta 90.00
_cell_angle_gamma 90.00
_space_group_name_H-M_alt 'I 4/m m m'
_space_group_IT_number 139
_space_group_name_Hall '-I 4 2'
loop_
_atom_site_label
_atom_site_type_symbol
_atom_site_fract_x
_atom_site_fract_y
_atom_site_fract_z
_atom_site_occupancy
Zn1 Zn 0.000 0.500 0.250 1
Ag1 Ag 0.000 0.000 0.105 1
Hg1 Hg 0.000 0.000 0.500 1
# Size of the total moment   0.00 μB per formula unit

Going by the energies, 1 is most stable and the next is 0.027 eV/atom up.